{"formula": "Y6Fe23", "functional": "PBE", "state": "optimized geometry", "e_tot_ev_per_atom": -8.09, "magnetic_moment_mub_per_cell": 50.56, "crystal_system": "cubic", "cell": [[0.0000, 6.0160, 6.0160], [6.0160, 0.0000, 6.0160], [6.0160, 6.0160, 0.0000]], "species": ["Y", "Y", "Y", "Y", "Y", "Y", "Fe", "Fe", "Fe", "Fe", "Fe", "Fe", "Fe", "Fe", "Fe", "Fe", "Fe", "Fe", "Fe", "Fe", "Fe", "Fe", "Fe", "Fe", "Fe", "Fe", "Fe", "Fe", "Fe"], "fractional_positions": [[0.2092, 0.2092, 0.7908], [0.2092, 0.7908, 0.2092], [0.2092, 0.7908, 0.7908], [0.7908, 0.2092, 0.2092], [0.7908, 0.2092, 0.7908], [0.7908, 0.7908, 0.2092], [0.0000, 0.0000, 0.5000], [0.0000, 0.5000, 0.0000], [0.0000, 0.5000, 0.5000], [0.1342, 0.6219, 0.6219], [0.1759, 0.1759, 0.1759], [0.1759, 0.1759, 0.4722], [0.1759, 0.4722, 0.1759], [0.3781, 0.3781, 0.3781], [0.3781, 0.3781, 0.8658], [0.3781, 0.8658, 0.3781], [0.4722, 0.1759, 0.1759], [0.5000, 0.0000, 0.0000], [0.5000, 0.0000, 0.5000], [0.5000, 0.5000, 0.0000], [0.5000, 0.5000, 0.5000], [0.5278, 0.8241, 0.8241], [0.6219, 0.1342, 0.6219], [0.6219, 0.6219, 0.1342], [0.6219, 0.6219, 0.6219], [0.8241, 0.5278, 0.8241], [0.8241, 0.8241, 0.5278], [0.8241, 0.8241, 0.8241], [0.8658, 0.3781, 0.3781]]}